FeO: relaxed, GGA+U.

a = 8.144 Å, b = 8.144 Å, c = 3.725 Å
α = 90.00°, β = 90.00°, γ = 90.00°
Last column: magnetic moment on the atom in μB.
Fractional coordinates of all 16 atoms:
O  0.135  0.688  0.500  0.12
O  0.688  0.865  0.500  0.12
Fe  0.609  0.791  0.000  3.78
O  0.312  0.135  0.500  0.12
Fe  0.891  0.709  0.500  3.78
Fe  0.709  0.109  0.500  3.78
Fe  0.391  0.209  0.000  3.78
O  0.865  0.312  0.500  0.12
O  0.812  0.635  0.000  0.12
Fe  0.791  0.391  0.000  3.78
Fe  0.209  0.609  0.000  3.78
O  0.635  0.188  0.000  0.12
O  0.188  0.365  0.000  0.12
O  0.365  0.812  0.000  0.12
Fe  0.109  0.291  0.500  3.78
Fe  0.291  0.891  0.500  3.78

Summary:
Symmetry ... I4/m
M_tot ... 4.0 μB/f.u.
Uncorrected energy ... -105.43 eV for the cell shown
Volume ... 15.4 A^3/atom